A relaxed Pr2ScZnS5 crystal. Source: the Alexandria database, functional PBE-GGA.

## Properties
Total magnetization: 0.00 μB per formula unit
DFT total energy: -213.441 eV per cell

Cell: 3.853 16.878 11.783 Å, 90.00 90.00 90.00°
Space group Cmc2_1 (No. 36)
Symmetry-distinct sites (fractional):
Pr (0.000, 0.116, 0.000) [4 per cell]
Pr (0.000, 0.133, 0.624) [4 per cell]
Sc (0.000, 0.202, 0.329) [4 per cell]
Zn (0.000, 0.447, 0.766) [4 per cell]
S (0.000, 0.050, 0.373) [4 per cell]
S (0.000, 0.288, 0.978) [4 per cell]
S (0.000, 0.311, 0.676) [4 per cell]
S (0.000, 0.354, 0.316) [4 per cell]
S (0.000, 0.496, 0.091) [4 per cell]



A relaxed TmCu4Si2 crystal. Source: the Alexandria database, functional PBE-GGA.

## Properties
Total magnetization: 0.00 μB per formula unit
DFT total energy: -68.694 eV per cell

Cell: 3.963 12.972 3.967 Å, 90.00 90.00 90.00°
Space group Cmmm (No. 65)
Symmetry-distinct sites (fractional):
Tm (0.000, 0.000, 0.000) [2 per cell]
Cu (0.000, 0.187, 0.500) [4 per cell]
Cu (0.000, 0.314, 0.000) [4 per cell]
Si (0.000, 0.409, 0.500) [4 per cell]



A relaxed HoEr3Pu3Te8 crystal. Source: the Alexandria database, functional PBE-GGA.

## Properties
Total magnetization: 5.95 μB per formula unit
DFT total energy: -210.018 eV per cell

Cell: 15.135 8.713 8.753 Å, 90.00 125.22 90.00°
Space group C2/m (No. 12)
Symmetry-distinct sites (fractional):
Ho (0.000, 0.000, 0.000) [2 per cell]
Er (0.000, 0.500, 0.000) [2 per cell]
Er (0.250, 0.250, 0.000) [4 per cell]
Pu (0.000, 0.000, 0.500) [2 per cell]
Pu (0.250, 0.250, 0.500) [4 per cell]
Te (0.004, 0.256, 0.754) [8 per cell]
Te (0.247, 0.500, 0.242) [4 per cell]
Te (0.248, 0.500, 0.753) [4 per cell]



A relaxed BaScFe2 crystal. Source: the Alexandria database, functional PBE-GGA.

## Properties
Total magnetization: 4.61 μB per formula unit
E_form: 78.03 kJ/mol of atoms
Energy relative to the lowest polymorph listed for this composition: 0.572 eV/atom

Cell: 6.886 6.886 6.886 Å, 90.00 90.00 90.00°
Space group F-43m (No. 216)
Symmetry-distinct sites (fractional):
Ba (0.000, 0.000, 0.000) [4 per cell]
Sc (0.250, 0.250, 0.750) [4 per cell]
Fe (0.000, 0.000, 0.500) [4 per cell]
Fe (0.250, 0.250, 0.250) [4 per cell]



A relaxed BaCr2As2 crystal. Source: the Alexandria database, functional PBE-GGA.

## Properties
Total magnetization: 5.99 μB per formula unit
E_form: -34.62 kJ/mol of atoms
Energy relative to the lowest polymorph listed for this composition: 0.115 eV/atom

Cell: 7.125 11.103 11.723 Å, 90.00 90.00 90.00°
Space group Fddd (No. 70, origin choice 2)
Symmetry-distinct sites (fractional):
Ba (0.125, 0.125, 0.125) [8 per cell]
Cr (0.125, 0.125, 0.505) [16 per cell]
As (0.125, 0.310, 0.625) [16 per cell]



A relaxed PmAlB4 crystal. Source: the Alexandria database, functional PBE-GGA.

## Properties
Total magnetization: 0.00 μB per formula unit
E_form: -41.22 kJ/mol of atoms

Cell: 6.033 11.690 3.656 Å, 90.00 90.00 90.00°
Space group Pbam (No. 55)
Symmetry-distinct sites (fractional):
Pm (0.128, 0.150, 0.000) [4 per cell]
Al (0.137, 0.410, 0.000) [4 per cell]
B (0.027, 0.691, 0.500) [4 per cell]
B (0.112, 0.546, 0.500) [4 per cell]
B (0.136, 0.969, 0.500) [4 per cell]
B (0.213, 0.813, 0.500) [4 per cell]



A relaxed Y3Al12Os4 crystal. Source: the Alexandria database, functional PBE-GGA.

## Properties
Total magnetization: 0.00 μB per formula unit
E_form: -57.75 kJ/mol of atoms

Cell: 8.8105 8.8105 9.6147 Å, 90.00 90.00 120.00°
Space group P6_3/mmc (No. 194)
Symmetry-distinct sites (fractional):
Y (0.1934, 0.3867, 0.2500) [6 per cell]
Al (0.0000, 0.0000, 0.2500) [2 per cell]
Al (0.1235, 0.5618, 0.7500) [6 per cell]
Al (0.1637, 0.3273, 0.5751) [12 per cell]
Al (0.3333, 0.6667, 0.0184) [4 per cell]
Os (0.0000, 0.0000, 0.0000) [2 per cell]
Os (0.0000, 0.5000, 0.0000) [6 per cell]



A relaxed CdOsCl2 crystal. Source: the Alexandria database, functional PBE-GGA.

## Properties
Total magnetization: 0.00 μB per formula unit
Energy relative to the lowest polymorph listed for this composition: 0.439 eV/atom

Cell: 2.949 4.501 12.629 Å, 90.00 90.00 90.00°
Space group Imm2 (No. 44)
Symmetry-distinct sites (fractional):
Cd (0.000, 0.000, 0.000) [2 per cell]
Os (0.000, 0.500, 0.688) [2 per cell]
Cl (0.000, 0.000, 0.347) [2 per cell]
Cl (0.000, 0.500, 0.178) [2 per cell]



A relaxed Ba2PmF8 crystal. Source: the Alexandria database, functional PBE-GGA.

## Properties
Total magnetization: 1.12 μB per formula unit
Energy relative to the lowest polymorph listed for this composition: 0.000 eV/atom

Cell: 15.053 4.311 6.048 Å, 90.00 112.83 90.00°
Space group C2/m (No. 12)
Symmetry-distinct sites (fractional):
Ba (0.169, 0.000, 0.181) [4 per cell]
Pm (0.000, 0.500, 0.500) [2 per cell]
F (0.012, 0.000, 0.304) [4 per cell]
F (0.100, 0.500, 0.903) [4 per cell]
F (0.146, 0.500, 0.451) [4 per cell]
F (0.218, 0.000, 0.794) [4 per cell]



A relaxed ScTl2Cl crystal. Source: the Alexandria database, functional PBE-GGA.

## Properties
Total magnetization: 0.39 μB per formula unit
DFT total energy: -14.410 eV per cell

Cell: 3.611 5.976 5.130 Å, 90.00 90.99 90.00°
Space group P2/m (No. 10)
Symmetry-distinct sites (fractional):
Sc (0.000, 0.000, 0.000) [1 per cell]
Tl (0.281, 0.500, 0.242) [2 per cell]
Cl (0.000, 0.000, 0.500) [1 per cell]



A relaxed KNaIn2Cu crystal. Source: the Alexandria database, functional PBE-GGA.

## Properties
Total magnetization: 0.00 μB per formula unit
E_form: 1.61 kJ/mol of atoms

Cell: 5.127 5.127 5.668 Å, 90.00 90.00 90.00°
Space group P4/mmm (No. 123)
Symmetry-distinct sites (fractional):
K (0.000, 0.000, 0.000) [1 per cell]
Na (0.500, 0.500, 0.000) [1 per cell]
In (0.000, 0.500, 0.500) [2 per cell]
Cu (0.500, 0.500, 0.500) [1 per cell]



A relaxed LaSbC2F crystal. Source: the Alexandria database, functional PBE-GGA.

## Properties
Total magnetization: 0.00 μB per formula unit
DFT total energy: -23.500 eV per cell

Cell: 4.569 4.569 4.172 Å, 90.00 90.00 90.00°
Space group P4/mmm (No. 123)
Symmetry-distinct sites (fractional):
La (0.000, 0.000, 0.000) [1 per cell]
Sb (0.500, 0.500, 0.000) [1 per cell]
C (0.000, 0.500, 0.500) [2 per cell]
F (0.500, 0.500, 0.500) [1 per cell]



A relaxed RePt2O crystal. Source: the Alexandria database, functional PBE-GGA.

## Properties
Total magnetization: 0.00 μB per formula unit
DFT total energy: -107.849 eV per cell

Cell: 6.062 6.062 6.939 Å, 90.00 90.00 90.00°
Space group I-42d (No. 122)
Symmetry-distinct sites (fractional):
Re (0.000, 0.000, 0.000) [4 per cell]
Pt (0.215, 0.750, 0.625) [8 per cell]
O (0.000, 0.000, 0.500) [4 per cell]



A relaxed Co2BiPd2 crystal. Source: the Alexandria database, functional PBE-GGA.

## Properties
Total magnetization: 3.92 μB per formula unit
E_form: 17.79 kJ/mol of atoms
Energy relative to the lowest polymorph listed for this composition: 0.000 eV/atom

Cell: 3.484 3.484 14.006 Å, 90.00 90.00 90.00°
Space group I4/mmm (No. 139)
Symmetry-distinct sites (fractional):
Co (0.000, 0.500, 0.250) [4 per cell]
Bi (0.000, 0.000, 0.000) [2 per cell]
Pd (0.000, 0.000, 0.389) [4 per cell]



A relaxed Lu2GaOs crystal. Source: the Alexandria database, functional PBE-GGA.

## Properties
Total magnetization: 0.00 μB per formula unit
E_form: 14.05 kJ/mol of atoms

Cell: 3.3090 3.3090 30.0752 Å, 90.00 90.00 120.00°
Space group R-3m (No. 166, hexagonal axes)
Symmetry-distinct sites (fractional):
Lu (0.0000, 0.0000, 0.0993) [6 per cell]
Ga (0.0000, 0.0000, 0.0000) [3 per cell]
Os (0.0000, 0.0000, 0.5000) [3 per cell]



A relaxed RbAsPbSe3 crystal. Source: the Alexandria database, functional PBE-GGA.

## Properties
Total magnetization: 0.00 μB per formula unit
DFT total energy: -45.911 eV per cell

Cell: 8.581 5.033 9.667 Å, 90.00 107.29 90.00°
Space group P2_1/m (No. 11)
Symmetry-distinct sites (fractional):
Rb (0.245, 0.250, 0.228) [2 per cell]
As (0.377, 0.250, 0.872) [2 per cell]
Pb (0.180, 0.750, 0.603) [2 per cell]
Se (0.020, 0.250, 0.701) [2 per cell]
Se (0.329, 0.750, 0.956) [2 per cell]
Se (0.443, 0.250, 0.646) [2 per cell]



A relaxed BaCaPr crystal. Source: the Alexandria database, functional PBE-GGA.

## Properties
Total magnetization: 0.00 μB per formula unit
E_form: 3.02 kJ/mol of atoms
Energy relative to the lowest polymorph listed for this composition: 0.000 eV/atom

Cell: 10.713 6.186 8.039 Å, 90.00 90.00 90.00°
Space group Cm (No. 8)
Symmetry-distinct sites (fractional):
Ba (0.000, 0.000, 0.000) [2 per cell]
Ba (0.167, 0.500, 0.822) [2 per cell]
Ca (0.333, 0.000, 0.186) [2 per cell]
Ca (0.333, 0.000, 0.636) [2 per cell]
Pr (0.002, 0.000, 0.469) [2 per cell]
Pr (0.169, 0.500, 0.353) [2 per cell]



A relaxed HfGeMo2Pt crystal. Source: the Alexandria database, functional PBE-GGA.

## Properties
Total magnetization: 0.00 μB per formula unit
E_form: 59.03 kJ/mol of atoms

Cell: 4.626 4.626 4.542 Å, 90.00 90.00 90.00°
Space group P4/mmm (No. 123)
Symmetry-distinct sites (fractional):
Hf (0.000, 0.000, 0.000) [1 per cell]
Ge (0.500, 0.500, 0.500) [1 per cell]
Mo (0.000, 0.500, 0.500) [2 per cell]
Pt (0.500, 0.500, 0.000) [1 per cell]



A relaxed PrCo2Sn7 crystal. Source: the Alexandria database, functional PBE-GGA.

## Properties
Total magnetization: 0.00 μB per formula unit
E_form: -3.85 kJ/mol of atoms

Cell: 8.603 13.478 4.554 Å, 90.00 90.00 90.00°
Space group Cmmm (No. 65)
Symmetry-distinct sites (fractional):
Pr (0.000, 0.000, 0.000) [2 per cell]
Co (0.000, 0.320, 0.500) [4 per cell]
Sn (0.000, 0.251, 0.000) [4 per cell]
Sn (0.000, 0.500, 0.500) [2 per cell]
Sn (0.201, 0.141, 0.500) [8 per cell]



A relaxed Nd12Sm2Tm7 crystal. Source: the Alexandria database, functional PBE-GGA.

## Properties
Total magnetization: 0.00 μB per formula unit
E_form: 4.43 kJ/mol of atoms

Cell: 15.0820 15.0820 3.5723 Å, 90.00 90.00 120.00°
Space group P-6 (No. 174)
Symmetry-distinct sites (fractional):
Nd (0.0518, 0.2563, 0.0000) [3 per cell]
Nd (0.1260, 0.7127, 0.5000) [3 per cell]
Nd (0.4138, 0.1510, 0.5000) [3 per cell]
Nd (0.4952, 0.3976, 0.0000) [3 per cell]
Sm (0.0000, 0.0000, 0.5000) [1 per cell]
Sm (0.3333, 0.6667, 0.0000) [1 per cell]
Tm (0.0994, 0.4794, 0.5000) [3 per cell]
Tm (0.2309, 0.1855, 0.0000) [3 per cell]
Tm (0.6667, 0.3333, 0.5000) [1 per cell]



A relaxed Li3Ge5Pd2 crystal. Source: the Alexandria database, functional PBE-GGA.

## Properties
Total magnetization: 0.00 μB per formula unit
E_form: -20.02 kJ/mol of atoms

Cell: 11.129 11.484 5.953 Å, 90.00 90.00 90.00°
Space group Ibam (No. 72)
Symmetry-distinct sites (fractional):
Li (0.000, 0.000, 0.250) [4 per cell]
Li (0.116, 0.233, 0.000) [8 per cell]
Ge (0.000, 0.500, 0.250) [4 per cell]
Ge (0.127, 0.358, 0.500) [8 per cell]
Ge (0.236, 0.000, 0.250) [8 per cell]
Pd (0.139, 0.146, 0.500) [8 per cell]